(1)
MgMo2W after structural relaxation, computed with PBE-GGA.

Output
For the calculated volume, the calculation gives 18.3 Å³/atom. The value obtained for the total energy is -64.94 eV/cell. Its crystal system is tetragonal. As for the space-group type: I-42d.

a = 7.3147 Å, b = 7.3147 Å, c = 5.8534 Å
α = 51.33°, β = 51.33°, γ = 90.00°
Closest atoms and distances in Å follow each position.
Fractional positions:
1 Mg 0.2500 0.7500 0.5000  2 W 2.74, 4 Mo 2.86
2 Mg 0.5000 0.5000 0.0000  2 W 2.74, 4 Mo 2.86
3 Mo 0.3750 0.3397 0.7500  2 W 2.51, 2 Mo 2.79
4 Mo 0.8750 0.9103 0.7500  2 W 2.51, 2 Mo 2.79
5 Mo 0.6603 0.1250 0.2500  2 W 2.51, 2 Mo 2.79
6 Mo 0.0897 0.6250 0.2500  2 W 2.51, 2 Mo 2.79
7 W 0.0000 0.0000 0.0000  4 Mo 2.51, 2 Mg 2.74
8 W 0.7500 0.2500 0.5000  4 Mo 2.51, 2 Mg 2.74

---

(2)
KCo2Si after structural relaxation, computed with PBE-GGA.

Output
For the calculated volume, the calculation gives 15.5 Å³/atom. The value obtained for the total energy is -16.33 eV/cell. Its crystal system is orthorhombic. Its formation energy (no corrections) is 1.10 eV per atom. As for the space-group type: Pmmm.

a = 2.7066 Å, b = 5.3275 Å, c = 4.2960 Å
α = 90.00°, β = 90.00°, γ = 90.00°
Closest atoms and distances in Å follow each position.
Fractional positions:
1 Si 0.0000 0.5000 0.5000  4 Co 2.54, 2 Si 2.71
2 Co 0.5000 0.5000 0.0000  4 Si 2.54, 2 Co 2.71
3 Co 0.0000 0.0000 0.0000  4 K 2.54, 2 Co 2.71
4 K 0.5000 0.0000 0.5000  4 Co 2.54, 2 K 2.71

---

(3)
Li2TiF2 after structural relaxation, computed with PBE-GGA.

Output
For the calculated volume, the calculation gives 14.4 Å³/atom. The value obtained for the total energy is -47.14 eV/cell. The energy above the most stable polymorph in this dataset is 0 meV per atom. Its crystal system is tetragonal. Its formation energy (no corrections) is -1.62 eV per atom. As for the space-group type: P4/mbm.

a = 5.9816 Å, b = 5.9816 Å, c = 4.0151 Å
α = 90.00°, β = 90.00°, γ = 90.00°
Closest atoms and distances in Å follow each position.
Fractional positions:
1 Ti 0.0000 0.0000 0.0000  4 F 2.13
2 Ti 0.5000 0.5000 0.0000  4 F 2.13
3 F 0.2836 0.2164 0.0000  2 Li 2.01, 2 Ti 2.13
4 F 0.2164 0.7164 0.0000  2 Li 2.01, 2 Ti 2.13
5 F 0.7164 0.7836 0.0000  2 Li 2.01, 2 Ti 2.13
6 F 0.7836 0.2836 0.0000  2 Li 2.01, 2 Ti 2.13
7 Li 0.7059 0.7941 0.5000  2 F 2.01
8 Li 0.7941 0.2941 0.5000  2 F 2.01
9 Li 0.2059 0.7059 0.5000  2 F 2.01
10 Li 0.2941 0.2059 0.5000  2 F 2.01

---

(4)
PuP2Ir5 after structural relaxation, computed with PBE-GGA.

Output
For the calculated volume, the calculation gives 15.8 Å³/atom. The value obtained for the total energy is -73.97 eV/cell. Its crystal system is orthorhombic. As for the space-group type: Immm.

a = 3.9393 Å, b = 6.1147 Å, c = 6.1147 Å
α = 68.44°, β = 71.21°, γ = 71.21°
Closest atoms and distances in Å follow each position.
Fractional positions:
1 Pu 0.0000 0.0000 0.0000  4 P 3.05, 8 Ir 3.14
2 P 0.2498 0.2502 0.2502  3 Ir 2.25-2.33
3 P 0.7502 0.7498 0.7498  3 Ir 2.25-2.33
4 Ir 0.6453 0.5596 0.1497  1 P 2.25
5 Ir 0.3547 0.4404 0.8503  1 P 2.25
6 Ir 0.0000 0.5000 0.5000  2 P 2.33
7 Ir 0.3547 0.8503 0.4404  1 P 2.25
8 Ir 0.6453 0.1497 0.5596  1 P 2.25

---

(5)
Si2As after structural relaxation, computed with PBE-GGA.

Output
For the calculated volume, the calculation gives 19.6 Å³/atom. The value obtained for the total energy is -56.38 eV/cell. The energy above the most stable polymorph in this dataset is 308 meV per atom. Its crystal system is hexagonal. Its formation energy (no corrections) is 0.47 eV per atom. As for the space-group type: P6_3/mmc.

a = 5.2189 Å, b = 5.2189 Å, c = 9.9869 Å
α = 90.00°, β = 90.00°, γ = 120.00°
Closest atoms and distances in Å follow each position.
Fractional positions:
1 Si 0.1516 0.8484 0.7500  2 Si 2.37, 2 As 2.52
2 Si 0.8484 0.6968 0.2500  2 Si 2.37, 2 As 2.52
3 Si 0.8484 0.1516 0.2500  2 Si 2.37, 2 As 2.52
4 Si 0.1516 0.3032 0.7500  2 Si 2.37, 2 As 2.52
5 Si 0.6968 0.8484 0.7500  2 Si 2.37, 2 As 2.52
6 Si 0.3032 0.1516 0.2500  2 Si 2.37, 2 As 2.52
7 Si 0.0000 0.0000 0.5000  6 Si 2.85, 6 As 3.07
8 Si 0.0000 0.0000 0.0000  6 Si 2.85, 6 As 3.07
9 As 0.6667 0.3333 0.0591  3 Si 2.52
10 As 0.6667 0.3333 0.4409  3 Si 2.52
11 As 0.3333 0.6667 0.5591  3 Si 2.52
12 As 0.3333 0.6667 0.9409  3 Si 2.52

---

(6)
Y4ErPd2 after structural relaxation, computed with PBE-GGA.

Output
For the calculated volume, the calculation gives 28.7 Å³/atom. The value obtained for the total energy is -42.76 eV/cell. The energy above the most stable polymorph in this dataset is 69 meV per atom. Its crystal system is trigonal. As for the space-group type: R-3m.

a = 5.1979 Å, b = 5.1979 Å, c = 9.0879 Å
α = 73.38°, β = 73.38°, γ = 60.00°
Closest atoms and distances in Å follow each position.
Fractional positions:
1 Y 0.8873 0.8873 0.3380  3 Pd 3.25, 3 Er 3.31, 3 Y 3.50
2 Y 0.1127 0.1127 0.6620  3 Pd 3.25, 3 Er 3.31, 3 Y 3.50
3 Y 0.7095 0.7095 0.8715  4 Pd 2.75-3.05
4 Y 0.2905 0.2905 0.1285  4 Pd 2.75-3.05
5 Pd 0.6027 0.6027 0.1919  1 Er 2.64, 1 Y 2.75
6 Pd 0.3973 0.3973 0.8081  1 Er 2.64, 1 Y 2.75
7 Er 0.5000 0.5000 0.5000  2 Pd 2.64

---

(7)
LaCo12B4 after structural relaxation, computed with PBE-GGA.

Output
For the calculated volume, the calculation gives 11.5 Å³/atom. The value obtained for the total energy is -114.36 eV/cell. Its crystal system is cubic. As for the space-group type: Im-3.

a = 6.3373 Å, b = 6.3373 Å, c = 6.3373 Å
α = 109.47°, β = 109.47°, γ = 109.47°
Closest atoms and distances in Å follow each position.
Fractional positions:
1 Co 0.1579 0.8119 0.3460  2 B 2.01
2 Co 0.3460 0.5341 0.1881  2 B 2.01
3 Co 0.8421 0.1881 0.6540  2 B 2.01
4 Co 0.8119 0.6540 0.4659  2 B 2.01
5 Co 0.6540 0.8421 0.1881  2 B 2.01
6 Co 0.5341 0.1881 0.3460  2 B 2.01
7 Co 0.4659 0.8119 0.6540  2 B 2.01
8 Co 0.1881 0.3460 0.5341  2 B 2.01
9 Co 0.3460 0.1579 0.8119  2 B 2.01
10 Co 0.8119 0.3460 0.1579  2 B 2.01
11 Co 0.6540 0.4659 0.8119  2 B 2.01
12 Co 0.1881 0.6540 0.8421  2 B 2.01
13 B 0.0000 0.5000 0.0000  6 Co 2.01
14 B 0.5000 0.0000 0.0000  6 Co 2.01
15 B 0.5000 0.5000 0.5000  6 Co 2.01
16 B 0.0000 0.0000 0.5000  6 Co 2.01
17 La 0.0000 0.0000 0.0000  12 Co 2.88, 8 B 3.17

---

(8)
AcYAl2Ge2 after structural relaxation, computed with PBE-GGA.

Output
For the calculated volume, the calculation gives 23.5 Å³/atom. The value obtained for the total energy is -30.90 eV/cell. Its crystal system is trigonal. As for the space-group type: P-3m1.

a = 4.2752 Å, b = 4.2752 Å, c = 8.9153 Å
α = 90.00°, β = 90.00°, γ = 120.00°
Closest atoms and distances in Å follow each position.
Fractional positions:
1 Ge 0.3333 0.6667 0.2911  3 Al 2.49
2 Ge 0.6667 0.3333 0.7089  3 Al 2.49
3 Al 0.6667 0.3333 0.2504  3 Ge 2.49
4 Al 0.3333 0.6667 0.7496  3 Ge 2.49
5 Ac 0.0000 0.0000 0.0000  6 Al 3.33, 6 Ge 3.58
6 Y 0.0000 0.0000 0.5000  6 Ge 3.09, 6 Al 3.32

---

(9)
Pm2ScGa after structural relaxation, computed with PBE-GGA.

Output
For the calculated volume, the calculation gives 27.4 Å³/atom. The value obtained for the total energy is -19.70 eV/cell. The energy above the most stable polymorph in this dataset is 33 meV per atom. Its crystal system is tetragonal. As for the space-group type: P4/mmm.

a = 3.5960 Å, b = 3.5960 Å, c = 8.4903 Å
α = 90.00°, β = 90.00°, γ = 90.00°
Closest atoms and distances in Å follow each position.
Fractional positions:
1 Ga 0.5000 0.5000 0.0000  8 Pm 3.16
2 Sc 0.5000 0.5000 0.5000  8 Pm 3.47, 4 Sc 3.60
3 Pm 0.0000 0.0000 0.7784  4 Ga 3.16, 4 Sc 3.47
4 Pm 0.0000 0.0000 0.2216  4 Ga 3.16, 4 Sc 3.47

---

(10)
LiAl2 after structural relaxation, computed with PBE-GGA.

Output
For the calculated volume, the calculation gives 16.8 Å³/atom. The value obtained for the total energy is -9.43 eV/cell. The energy above the most stable polymorph in this dataset is 100 meV per atom. Its crystal system is orthorhombic. As for the space-group type: Immm.

a = 4.6659 Å, b = 4.6659 Å, c = 4.6659 Å
α = 144.76°, β = 118.87°, γ = 72.57°
Closest atoms and distances in Å follow each position.
Fractional positions:
1 Al 0.6825 0.1825 0.5000  4 Li 2.74-2.77, 7 Al 2.75-2.94
2 Al 0.3175 0.8175 0.5000  4 Li 2.74-2.77, 7 Al 2.75-2.94
3 Li 0.0000 0.0000 0.0000  8 Al 2.74-2.77, 2 Li 2.82